# Tl2TcOs, relaxed, DFT PBE
# **Total energy**: -5.17 eV per atom
# **ΔH_f (0 K)**: 1.41 eV/atom
data_Tl2TcOs
_chemical_formula_sum 'Tl8 Tc4 Os4'
_cell_length_a 7.682
_cell_length_b 7.682
_cell_length_c 5.590
_cell_angle_alpha 90.00
_cell_angle_beta 90.00
_cell_angle_gamma 90.00
_space_group_name_H-M_alt 'I -4 2 d'
_space_group_IT_number 122
_space_group_name_Hall 'I -4 2bw'
loop_
_atom_site_label
_atom_site_fract_x
_atom_site_fract_y
_atom_site_fract_z
Tl1 0.242 0.250 0.125
Tc1 0.000 0.000 0.500
Os1 0.000 0.000 0.000